Density functional theory data (PBE) for Ti2TlGaTc after structural relaxation.

Lattice parameters (Å, degrees): 4.6908 4.6908 5.3164 90.00 90.00 90.00
With the nearest neighbours (Å) after each atom.
Positions (direct):
Ti (0.0000, 0.5000, 0.0000)  2 Tc 2.35
Ti (0.5000, 0.0000, 0.0000)  2 Tc 2.35
Tl (0.0000, 0.0000, 0.5000)  2 Tc 2.66
Ga (0.5000, 0.5000, 0.5000)  4 Tl 3.32, 8 Ti 3.55
Tc (0.0000, 0.0000, 0.0000)  4 Ti 2.35

Results
Its electronic total energy is -5.7269 eV/atom. Its crystal system is tetragonal. The value obtained for the polymorph energy (0 for the lowest one) is 0.0 meV/atom. The spin magnetization comes out at 0.00 Bohr magnetons per cell. As for the formation energy from the elements: 2.9 eV per formula unit.